CoPb | PBE-GGA | relaxed

Cell: 13.2791 3.3469 6.0195 Å, 90.00 116.88 90.00°
Last column: nearest neighbours and their distance in Å.
Space group Cm (No. 8)
Symmetry-distinct sites (fractional):
Co 0.0000 0.0000 0.0000 [2 per cell]  4 Co 2.39
Co 0.1025 0.5000 0.3021 [2 per cell]  3 Co 2.39-2.43, 1 Pb 2.68
Co 0.3972 0.0000 0.0961 [2 per cell]  3 Co 2.39-2.43, 1 Pb 2.68
Pb 0.9997 0.0000 0.5170 [2 per cell]  6 Co 2.82-3.11
Pb 0.2152 0.5000 0.0290 [2 per cell]  3 Co 2.68-2.81
Pb 0.2842 0.0000 0.5982 [2 per cell]  3 Co 2.68-2.81

The formation energy is 0.39 eV per atom.

Tl2InNi2 | PBE-GGA | relaxed

Cell: 3.4592 3.4592 18.1461 Å, 90.00 90.00 90.00°
Last column: nearest neighbours and their distance in Å.
Space group I4/mmm (No. 139)
Symmetry-distinct sites (fractional):
Tl 0.0000 0.0000 0.1324 [4 per cell]  4 Ni 2.75
In 0.0000 0.0000 0.5000 [2 per cell]  8 Tl 3.43, 4 In 3.46
Ni 0.0000 0.5000 0.2500 [4 per cell]  4 Ni 2.45

The formation energy is 0.26 eV per atom.

HfTa2V2 | PBE-GGA | relaxed

Cell: 7.3303 7.3303 3.2837 Å, 90.00 90.00 90.00°
Last column: nearest neighbours and their distance in Å.
Space group P4/mbm (No. 127)
Symmetry-distinct sites (fractional):
Hf 0.0000 0.0000 0.0000 [2 per cell]  4 V 2.84
Ta 0.1528 0.3472 0.5000 [4 per cell]  6 V 2.69-2.73
V 0.1368 0.6368 0.0000 [4 per cell]  6 Ta 2.69-2.73, 1 V 2.84, 2 Hf 2.84

The formation energy is 0.26 eV per atom.

CaMnPt | PBE-GGA | relaxed

Cell: 6.5462 6.5462 6.5462 Å, 90.00 90.00 90.00°
Last column: nearest neighbours and their distance in Å.
Space group F-43m (No. 216)
Symmetry-distinct sites (fractional):
Ca 0.0000 0.0000 0.0000 [4 per cell]  4 Pt 2.83
Mn 0.0000 0.0000 0.5000 [4 per cell]  4 Pt 2.83
Pt 0.2500 0.2500 0.7500 [4 per cell]  4 Mn 2.83, 4 Ca 2.83

The formation energy is -0.23 eV per atom.

Sr4TbY3Te8 | PBE-GGA | relaxed

Cell: 8.9804 8.9804 22.6418 Å, 90.00 90.00 120.00°
Last column: nearest neighbours and their distance in Å.
Space group R-3m (No. 166, hexagonal axes)
Symmetry-distinct sites (fractional):
Sr 0.0000 0.0000 0.0000 [3 per cell]  6 Te 3.29
Sr 0.0000 0.5000 0.0000 [9 per cell]  6 Te 3.29
Tb 0.0000 0.0000 0.5000 [3 per cell]  6 Te 3.13
Y 0.0000 0.5000 0.5000 [9 per cell]  6 Te 3.13
Te 0.0000 0.0000 0.2438 [6 per cell]  3 Y 3.13, 3 Sr 3.29
Te 0.9997 0.4998 0.2439 [18 per cell]  2 Y 3.13, 1 Tb 3.13, 3 Sr 3.29

The calculation puts the energy relative to the elements, uncorrected at -1.5073 eV per atom.

MgScAs2 | PBE-GGA | relaxed

Cell: 6.8399 6.8399 6.8399 Å, 90.00 90.00 90.00°
Last column: nearest neighbours and their distance in Å.
Space group F-43m (No. 216)
Symmetry-distinct sites (fractional):
Mg 0.0000 0.0000 0.0000 [4 per cell]  4 Sc 2.96, 4 As 2.96
Sc 0.2500 0.2500 0.2500 [4 per cell]  4 As 2.96, 4 Mg 2.96
As 0.0000 0.0000 0.5000 [4 per cell]  4 As 2.96, 4 Sc 2.96
As 0.2500 0.2500 0.7500 [4 per cell]  4 Mg 2.96, 4 As 2.96

The formation energy is -0.11 eV per atom.

GdZrOsPd | PBE-GGA | relaxed

Cell: 6.7920 6.7920 6.7920 Å, 90.00 90.00 90.00°
Last column: nearest neighbours and their distance in Å.
Space group F-43m (No. 216)
Symmetry-distinct sites (fractional):
Gd 0.0000 0.0000 0.0000 [4 per cell]  4 Os 2.94, 4 Pd 2.94
Zr 0.0000 0.0000 0.5000 [4 per cell]  4 Pd 2.94, 4 Os 2.94
Os 0.2500 0.2500 0.2500 [4 per cell]  4 Zr 2.94, 4 Gd 2.94
Pd 0.2500 0.2500 0.7500 [4 per cell]  4 Zr 2.94, 4 Gd 2.94

The formation energy is -0.47 eV per atom.

YCoTc2 | PBE-GGA | relaxed

Cell: 10.8747 2.8184 4.5141 Å, 90.00 110.52 90.00°
Last column: nearest neighbours and their distance in Å.
Space group C2/m (No. 12)
Symmetry-distinct sites (fractional):
Y 0.0000 0.0000 0.0000 [2 per cell]  4 Co 2.66, 2 Y 2.82
Co 0.0000 0.5000 0.5000 [2 per cell]  4 Tc 2.59, 4 Y 2.66, 2 Co 2.82
Tc 0.2133 0.0000 0.7094 [4 per cell]  2 Co 2.59, 6 Tc 2.69-2.84

The formation energy is 0.21 eV per atom.

TmPdAu | PBE-GGA | relaxed

Cell: 4.6357 4.6357 3.2925 Å, 90.00 90.00 120.00°
Last column: nearest neighbours and their distance in Å.
Space group P-6m2 (No. 187)
Symmetry-distinct sites (fractional):
Tm 0.0000 0.0000 0.0000 [1 per cell]  6 Pd 3.14, 6 Au 3.14, 2 Tm 3.29
Pd 0.3333 0.6667 0.5000 [1 per cell]  3 Au 2.68
Au 0.6667 0.3333 0.5000 [1 per cell]  3 Pd 2.68

The formation energy is -0.75 eV per atom.

PmTlBr | PBE-GGA | relaxed

Cell: 3.8852 4.7893 11.8563 Å, 90.00 99.40 90.00°
Last column: nearest neighbours and their distance in Å.
Space group P2_1/m (No. 11)
Symmetry-distinct sites (fractional):
Pm 0.0909 0.2500 0.1829 [2 per cell]  2 Br 2.88
Tl 0.4597 0.2500 0.9177 [2 per cell]  2 Tl 3.07, 4 Pm 3.30
Br 0.3187 0.7500 0.6359 [2 per cell]  2 Pm 2.88

The calculation puts the energy relative to the elements, uncorrected at -0.9251 eV per atom.

PrNdAg4 | PBE-GGA | relaxed

Cell: 8.2120 8.2120 8.2120 Å, 90.00 90.00 90.00°
Last column: nearest neighbours and their distance in Å.
Space group F-43m (No. 216)
Symmetry-distinct sites (fractional):
Pr 0.0000 0.0000 0.0000 [4 per cell]  12 Ag 3.40, 4 Nd 3.56
Nd 0.2500 0.2500 0.7500 [4 per cell]  12 Ag 3.40, 4 Pr 3.56
Ag 0.1249 0.1249 0.3751 [16 per cell]  6 Ag 2.90-2.91

The formation energy is -0.15 eV per atom.

BaTe2W | PBE-GGA | relaxed

Cell: 3.4913 3.4913 8.4556 Å, 90.00 90.00 90.00°
Last column: nearest neighbours and their distance in Å.
Space group P4/mmm (No. 123)
Symmetry-distinct sites (fractional):
Ba 0.0000 0.0000 0.0000 [1 per cell]  4 Ba 3.49, 8 Te 3.60
Te 0.5000 0.5000 0.3093 [2 per cell]  4 W 2.95, 1 Te 3.23
W 0.0000 0.0000 0.5000 [1 per cell]  8 Te 2.95

The calculation puts the energy relative to the elements, uncorrected at 0.0687 eV per atom.

Number 1: density 11.112 g/cm3. Number 2: density 9.803 g/cm3. Number 3: density 12.089 g/cm3. Number 4: density 6.869 g/cm3. Number 5: density 5.661 g/cm3. Number 6: density 4.548 g/cm3. Number 7: density 11.556 g/cm3. Number 8: density 8.813 g/cm3. Number 9: density 12.799 g/cm3. Number 10: density 6.550 g/cm3. Number 11: density 8.595 g/cm3. Number 12: density 9.286 g/cm3.